# BePHS2 | the Alexandria database | PBE | relaxed
data_BePHS2
_cell_length_a 4.341
_cell_length_b 4.341
_cell_length_c 4.191
_cell_angle_alpha 90.00
_cell_angle_beta 90.00
_cell_angle_gamma 90.00
_symmetry_space_group_name_H-M 'P 1'
_symmetry_Int_Tables_number 1
_symmetry_space_group_name_Hall 'P 1'
loop_
_atom_site_label
_atom_site_type_symbol
_atom_site_fract_x
_atom_site_fract_y
_atom_site_fract_z
Be1 Be 0.000 0.000 0.000
P1 P 0.000 0.000 0.500
H1 H 0.500 0.500 0.500
S1 S 0.000 0.500 0.000
S2 S 0.500 0.000 0.000
# Energy ... -3.157 eV/atom
# Offset from the most stable computed form ... 177.7 meV per atom
# N(E_F) ... 0.661 states/eV/atom
# V ... 79.0 Å³/cell
# Magnetization ... 1.1 μB per formula unit
# ρ ... 2.2 g/cm3

=====

# NdDy4Y6 | the Alexandria database | PBE | relaxed
data_NdDy4Y6
_cell_length_a 5.633
_cell_length_b 5.633
_cell_length_c 25.818
_cell_angle_alpha 90.00
_cell_angle_beta 90.00
_cell_angle_gamma 119.04
_symmetry_space_group_name_H-M 'P 1'
_symmetry_Int_Tables_number 1
_symmetry_space_group_name_Hall 'P 1'
loop_
_atom_site_label
_atom_site_type_symbol
_atom_site_fract_x
_atom_site_fract_y
_atom_site_fract_z
Nd1 Nd 0.178 0.822 0.750
Nd2 Nd 0.822 0.178 0.250
Dy1 Dy 0.161 0.839 0.042
Dy2 Dy 0.161 0.839 0.458
Dy3 Dy 0.481 0.519 0.121
Dy4 Dy 0.481 0.519 0.379
Dy5 Dy 0.519 0.481 0.621
Dy6 Dy 0.519 0.481 0.879
Dy7 Dy 0.839 0.161 0.542
Dy8 Dy 0.839 0.161 0.958
Y1 Y 0.152 0.848 0.180
Y2 Y 0.152 0.848 0.320
Y3 Y 0.181 0.819 0.602
Y4 Y 0.181 0.819 0.898
Y5 Y 0.488 0.512 0.250
Y6 Y 0.500 0.500 0.000
Y7 Y 0.500 0.500 0.500
Y8 Y 0.512 0.488 0.750
Y9 Y 0.819 0.181 0.102
Y10 Y 0.819 0.181 0.398
Y11 Y 0.848 0.152 0.680
Y12 Y 0.848 0.152 0.820
# Energy ... -5.516 eV/atom
# Offset from the most stable computed form ... 0.0 meV per atom
# N(E_F) ... 1.839 states/eV/atom
# V ... 716.2 Å³/cell
# Magnetization ... 0.0 μB per formula unit
# ρ ... 6.2 g/cm3
# Formation energy from the elements ... 0.117 eV per atom

=====

# YCrCo | the Alexandria database | PBE | relaxed
data_YCrCo
_cell_length_a 4.491
_cell_length_b 4.491
_cell_length_c 4.491
_cell_angle_alpha 60.00
_cell_angle_beta 60.00
_cell_angle_gamma 60.00
_symmetry_space_group_name_H-M 'P 1'
_symmetry_Int_Tables_number 1
_symmetry_space_group_name_Hall 'P 1'
loop_
_atom_site_label
_atom_site_type_symbol
_atom_site_fract_x
_atom_site_fract_y
_atom_site_fract_z
Y1 Y 0.000 0.000 0.000
Cr1 Cr 0.750 0.750 0.750
Co1 Co 0.250 0.250 0.250
# Energy ... -6.596 eV/atom
# Offset from the most stable computed form ... 1045.0 meV per atom
# N(E_F) ... 0.931 states/eV/atom
# V ... 64.0 Å³/cell
# Magnetization ... 4.2 μB per formula unit
# ρ ... 5.2 g/cm3
# Formation energy from the elements ... 1.135 eV per atom